SrAc2Tl: optimized geometry, PBE.

a b c (Å): 7.5141 7.5141 11.0721
angles (deg): 90.00 90.00 147.47
Atoms (fractional coordinates):
Sr: 0.0491 0.9509 0.7500
Sr: 0.9509 0.0491 0.2500
Ac: 0.3579 0.6421 0.5441
Ac: 0.3579 0.6421 0.9559
Ac: 0.6421 0.3579 0.0441
Ac: 0.6421 0.3579 0.4559
Tl: 0.2580 0.7420 0.2500
Tl: 0.7420 0.2580 0.7500

Results
Energy relative to the lowest polymorph listed for this composition ... 0 meV per atom
Space-group type ... No. 63
Theoretical density ... 7.37 g cm⁻³
Spin magnetization ... 0.00 μB/f.u.
Crystal system ... orthorhombic
Calculated formation energy ... -0.128 eV per atom

***

SrAc2Tl: optimized geometry, PBE.

a b c (Å): 5.4405 5.4405 5.3048
angles (deg): 90.00 90.00 90.00
Atoms (fractional coordinates):
Sr: 0.0000 0.0000 0.0000
Ac: 0.0000 0.5000 0.5000
Ac: 0.5000 0.0000 0.5000
Tl: 0.5000 0.5000 0.0000

Results
Energy relative to the lowest polymorph listed for this composition ... 45 meV per atom
Space-group type ... No. 123
Theoretical density ... 7.89 g cm⁻³
Spin magnetization ... 0.00 μB/f.u.
Crystal system ... tetragonal
Calculated formation energy ... -0.083 eV per atom

***

| no. | uncorrected energy (eV/cell) |
| --- | --- |
| 1 | -25.6 |
| 2 | -12.6 |